1.
{"formula": "RbNa3Li12Ti4O16", "functional": "GGA-PBEsol", "state": "relaxed", "space_group": "No. 87", "m_tot_mub_per_fu": 0.0, "total_energy_ev_per_cell": -230.40, "lattice_angstrom": [[6.487, 0.000, 0.000], [3.243, 7.910, 0.000], [3.243, 0.000, 7.910]], "species": ["O", "Li", "Li", "Li", "Ti", "O", "Li", "O", "Rb", "Ti", "O", "Li", "Li", "O", "Li", "Na", "Li", "O", "O", "O", "O", "O", "O", "O", "O", "Na", "O", "Li", "Li", "Li", "O", "Li", "Ti", "Na", "O", "Ti"], "fractional_positions": [[0.546, 0.274, 0.101], [0.341, 0.676, 0.134], [0.721, 0.361, 0.196], [0.279, 0.639, 0.804], [0.581, 0.196, 0.642], [0.323, 0.768, 0.586], [0.983, 0.866, 0.676], [0.677, 0.232, 0.414], [0.000, 0.000, 0.000], [0.419, 0.804, 0.358], [0.079, 0.274, 0.101], [0.659, 0.324, 0.866], [0.918, 0.804, 0.361], [0.180, 0.899, 0.274], [0.151, 0.324, 0.866], [0.250, 0.500, 0.500], [0.849, 0.676, 0.134], [0.353, 0.101, 0.726], [0.921, 0.726, 0.899], [0.428, 0.403, 0.740], [0.647, 0.899, 0.274], [0.572, 0.597, 0.260], [0.831, 0.740, 0.597], [0.091, 0.586, 0.232], [0.909, 0.414, 0.768], [0.750, 0.500, 0.500], [0.820, 0.101, 0.726], [0.082, 0.196, 0.639], [0.017, 0.134, 0.324], [0.475, 0.866, 0.676], [0.169, 0.260, 0.403], [0.525, 0.134, 0.324], [0.777, 0.642, 0.804], [0.500, 0.000, 0.000], [0.454, 0.726, 0.899], [0.223, 0.358, 0.196]]}

***

2.
{"formula": "Fe2AuCl", "functional": "GGA-PBEsol", "state": "relaxed", "space_group": "No. 35", "de_polymorph_mev_per_atom": 62, "m_tot_mub_per_fu": 5.6, "lattice_angstrom": [[2.808, -0.001, 0.000], [-1.087, 2.589, 0.000], [0.000, 0.000, 8.379]], "species": ["Fe", "Fe", "Cl", "Au"], "fractional_positions": [[0.000, 0.000, 0.989], [0.500, 0.500, 0.782], [0.500, 0.500, 0.197], [0.000, 0.000, 0.532]]}